Record 1
The following is a PBE calculation of a relaxed structure of La4Pm3Sn5, from Alexandria.

Lattice parameters (Å, degrees): 6.477 6.477 12.423 93.75 93.75 50.35
Sites, in units of the cell vectors:
La  0.098  0.098  0.249
La  0.139  0.139  0.579
La  0.861  0.861  0.421
La  0.902  0.902  0.751
Pm  0.217  0.217  0.876
Pm  0.500  0.500  0.000
Pm  0.783  0.783  0.124
Sn  0.000  0.000  0.000
Sn  0.387  0.387  0.236
Sn  0.415  0.415  0.593
Sn  0.585  0.585  0.407
Sn  0.613  0.613  0.764

Calculated values
final energy	-4.97	eV per atom
total moment	1.13	μB/f.u.
calculated formation energy	-0.474	eV per atom

=====

Record 2
The following is a PBE calculation of a relaxed structure of Ce2CdIr, from Alexandria.

Lattice parameters (Å, degrees): 7.264 7.264 7.264 90.00 90.00 90.00
Sites, in units of the cell vectors:
Ce  0.250  0.250  0.250
Ce  0.250  0.250  0.750
Ce  0.250  0.750  0.250
Ce  0.250  0.750  0.750
Ce  0.750  0.250  0.250
Ce  0.750  0.250  0.750
Ce  0.750  0.750  0.250
Ce  0.750  0.750  0.750
Cd  0.000  0.000  0.000
Cd  0.000  0.500  0.500
Cd  0.500  0.000  0.500
Cd  0.500  0.500  0.000
Ir  0.000  0.000  0.500
Ir  0.000  0.500  0.000
Ir  0.500  0.000  0.000
Ir  0.500  0.500  0.500

Calculated values
polymorph energy (0 for the lowest one)	140	meV/atom
final energy	-5.73	eV per atom
total moment	1.52	μB/f.u.
calculated formation energy	-0.322	eV per atom

=====

Record 3
The following is a PBE calculation of a relaxed structure of BiPd2Pb8, from Alexandria.

Lattice parameters (Å, degrees): 8.355 8.355 5.596 106.16 106.16 64.53
Sites, in units of the cell vectors:
Bi  0.000  0.000  0.000
Pd  0.225  0.225  0.299
Pd  0.775  0.775  0.701
Pb  0.165  0.584  0.667
Pb  0.174  0.174  0.757
Pb  0.408  0.408  0.189
Pb  0.416  0.835  0.333
Pb  0.584  0.165  0.667
Pb  0.592  0.592  0.811
Pb  0.826  0.826  0.243
Pb  0.835  0.416  0.333

Calculated values
final energy	-3.98	eV per atom
total moment	0.00	μB/f.u.
calculated formation energy	0.011	eV per atom

=====

Record 4
The following is a PBE calculation of a relaxed structure of ScFe2W2, from Alexandria.

Lattice parameters (Å, degrees): 4.087 4.087 10.048 90.00 90.00 90.00
Sites, in units of the cell vectors:
Sc  0.000  0.000  0.000
Sc  0.500  0.500  0.500
Fe  0.000  0.500  0.250
Fe  0.000  0.500  0.750
Fe  0.500  0.000  0.250
Fe  0.500  0.000  0.750
W  0.000  0.000  0.370
W  0.000  0.000  0.630
W  0.500  0.500  0.130
W  0.500  0.500  0.870

Calculated values
polymorph energy (0 for the lowest one)	218	meV/atom
final energy	-9.42	eV per atom
total moment	0.00	μB/f.u.
calculated formation energy	0.410	eV per atom

=====

Record 5
The following is a PBE calculation of a relaxed structure of Zr2CdTc, from Alexandria.

Lattice parameters (Å, degrees): 6.708 6.717 3.493 90.00 90.00 90.00
Sites, in units of the cell vectors:
Zr  0.250  0.250  0.000
Zr  0.250  0.750  0.000
Zr  0.750  0.250  0.000
Zr  0.750  0.750  0.000
Cd  0.000  0.000  0.500
Cd  0.500  0.500  0.500
Tc  0.000  0.500  0.500
Tc  0.500  0.000  0.500

Calculated values
final energy	-7.25	eV per atom
total moment	0.00	μB/f.u.
calculated formation energy	-0.151	eV per atom

=====

Record 6
The following is a PBE calculation of a relaxed structure of V4Ru4Pt5, from Alexandria.

Lattice parameters (Å, degrees): 7.240 7.240 7.240 94.07 94.07 149.08
Sites, in units of the cell vectors:
V  0.139  0.244  0.384
V  0.244  0.861  0.105
V  0.756  0.139  0.895
V  0.861  0.756  0.616
Ru  0.092  0.620  0.711
Ru  0.380  0.092  0.472
Ru  0.620  0.908  0.528
Ru  0.908  0.380  0.289
Pt  0.000  0.000  0.000
Pt  0.306  0.452  0.758
Pt  0.452  0.694  0.147
Pt  0.548  0.306  0.853
Pt  0.694  0.548  0.242

Calculated values
final energy	-8.30	eV per atom
total moment	0.00	μB/f.u.
calculated formation energy	-0.321	eV per atom

=====

Record 7
The following is a PBE calculation of a relaxed structure of SrTlZn3, from Alexandria.

Lattice parameters (Å, degrees): 5.968 5.968 5.968 90.00 90.00 90.00
Sites, in units of the cell vectors:
Sr  0.000  0.000  0.000
Tl  0.500  0.500  0.500
Zn  0.000  0.000  0.500
Zn  0.000  0.500  0.000
Zn  0.500  0.000  0.000

Calculated values
polymorph energy (0 for the lowest one)	463	meV/atom
final energy	-0.86	eV per atom
total moment	0.00	μB/f.u.
calculated formation energy	0.714	eV per atom